No. 1
## AlV4S (PBE)

Data for AlV4S after structural relaxation.

```
AlV4S
1.0
-1.460 -1.314 -4.628
-2.547 -4.637 2.120
-3.537 5.264 2.353
V Al S
8 2 2
direct
0.502 0.050 0.840
0.944 0.892 0.625
0.681 0.392 0.625
0.338 0.551 0.840
0.056 0.108 0.375
0.498 0.950 0.160
0.319 0.608 0.375
0.662 0.449 0.160
0.916 0.750 0.000
0.084 0.250 0.000
0.000 0.500 0.500
0.500 0.000 0.500
```

## Properties
- Fermi-level density of states: 10.9 states/eV per cell
- Mass density: 5.1 g/cm³
- ΔE_f (raw): -0.1837 eV/atom
- VASP energy: -7.57 eV per atom



No. 2
## Be3Ag (PBE)

Data for Be3Ag after structural relaxation.

```
Be3Ag
1.0
-4.307 -0.604 2.456
1.861 -3.135 2.492
2.202 5.442 5.201
Be Ag
12 4
direct
0.642 0.291 0.006
0.358 0.709 0.994
0.620 0.580 0.250
0.142 0.209 0.994
0.858 0.791 0.494
0.858 0.791 0.006
0.380 0.420 0.750
0.358 0.709 0.506
0.142 0.209 0.506
0.642 0.291 0.494
0.120 0.920 0.750
0.880 0.080 0.250
0.908 0.433 0.750
0.092 0.567 0.250
0.408 0.067 0.250
0.592 0.933 0.750
```

## Properties
- Fermi-level density of states: 3.1 states/eV per cell
- Mass density: 5.2 g/cm³
- ΔE_f: 0.232 eV/atom
- VASP energy: -3.28 eV per atom
- Energy relative to the lowest polymorph listed for this composition: 8.8 kJ/mol of atoms



No. 3
## RbScTeI2 (PBE)

Data for RbScTeI2 after structural relaxation.

```
RbScTeI2
1.0
-3.383 -3.055 -4.477
5.103 -3.573 -1.418
-1.836 -4.351 4.356
Te I Sc Rb
1 2 1 1
direct
0.000 0.000 0.500
0.000 0.500 0.000
0.500 0.000 0.000
0.500 0.500 0.500
0.000 0.000 0.000
```

## Properties
- Fermi-level density of states: 5.7 states/eV per cell
- Mass density: 3.2 g/cm³
- ΔE_f (raw): 0.2996 eV/atom
- VASP energy: -2.41 eV per atom
- Energy relative to the lowest polymorph listed for this composition: 142.2 kJ/mol of atoms



Look up the Fermi-level density of states of the third one. 5.7 states/eV per cell



Among the records above, which one has the highest mass density? Be3Ag



The highest VASP energy belongs to which entry? RbScTeI2



The highest mass density belongs to which entry? Be3Ag